# 1
The following is a PBE calculation of a geometry-optimized Li2TlRe structure, from Alexandria.

Unit cell a=5.1109 b=5.1109 c=5.1109 alpha=134.70 beta=134.70 gamma=66.00
Element x y z (fractional)
Li 0.2500 0.7500 0.5000
Li 0.7500 0.2500 0.5000
Tl 0.0000 0.0000 0.0000
Re 0.5000 0.5000 0.0000

Calculated values
- Raw total energy: -16.3 eV/cell
- Crystal system: tetragonal
- Space group: I4/mmm, No. 139
- Formation energy from the elements: 0.588 eV/atom
- Energy above the most stable polymorph in this dataset: 240 meV per atom

***

# 2
The following is a PBE calculation of a geometry-optimized LiTl2Re structure, from Alexandria.

Unit cell a=5.8471 b=5.8471 c=5.8471 alpha=147.35 beta=133.66 gamma=57.84
Element x y z (fractional)
Li 0.0000 0.0000 0.0000
Tl 0.4638 0.4638 0.0000
Tl 0.7308 0.2308 0.5000
Re 0.2247 0.7247 0.5000

Calculated values
- Raw total energy: -16.6 eV/cell
- Crystal system: orthorhombic
- Space group: Imm2, No. 44
- Formation energy from the elements: 0.629 eV/atom

***

# 3
The following is a PBE calculation of a geometry-optimized Li2TlRe structure, from Alexandria.

Unit cell a=4.5948 b=4.5948 c=4.5948 alpha=60.00 beta=60.00 gamma=60.00
Element x y z (fractional)
Li 0.0000 0.0000 0.0000
Li 0.2500 0.2500 0.2500
Tl 0.5000 0.5000 0.5000
Re 0.7500 0.7500 0.7500

Calculated values
- Raw total energy: -16.1 eV/cell
- Crystal system: cubic
- Space group: F-43m, No. 216
- Formation energy from the elements: 0.628 eV/atom
- Energy above the most stable polymorph in this dataset: 280 meV per atom

***

| no. | calculated density (g/cm3) |
| --- | --- |
| 1 | 10.11 |
| 2 | 12.91 |
| 3 | 9.79 |